(1)
The following is a DFT calculation (PBE) of crystalline LiCdPS2 at its relaxed geometry.

Results
calculated density: 3.862 g/cm3
excess energy over the best structure of this formula in the dataset: 0.00 eV per formula unit
formation energy without anion corrections: 455 meV per atom
space-group type: P4/mmm

Structure (extended XYZ):
```
5
Lattice="-3.9682 -2.2626 -0.7856 2.1279 -2.6327 -3.1661 1.0180 -2.8440 3.0490" Properties=species:S:1:pos:R:3 pbc="T T T"
P 0.5090 -1.4220 1.5245
S 1.0639 -1.3163 -1.5831
S -1.9841 -1.1313 -0.3928
Li 0.0000 0.0000 0.0000
Cd -0.4112 -3.8696 -0.4514
```

***

(2)
The following is a DFT calculation (PBE) of crystalline LiCdPS2 at its relaxed geometry.

Results
calculated density: 2.735 g/cm3
excess energy over the best structure of this formula in the dataset: 0.36 eV per formula unit
formation energy without anion corrections: 528 meV per atom
space-group type: P4/mmm

Structure (extended XYZ):
```
5
Lattice="5.1187 0.0000 0.0000 0.0000 5.1187 0.0000 0.0000 0.0000 4.9695" Properties=species:S:1:pos:R:3 pbc="T T T"
P 0.0000 0.0000 2.4848
S 0.0000 2.5594 0.0000
S 2.5594 0.0000 0.0000
Li 2.5594 2.5594 2.4848
Cd 0.0000 0.0000 0.0000
```

***

(3)
The following is a DFT calculation (PBE) of crystalline LiCdSnP2 at its relaxed geometry.

Results
calculated density: 4.791 g/cm3
space-group type: P4/mmm
raw total energy: -15.144 eV per cell

Structure (extended XYZ):
```
5
Lattice="4.5399 0.0000 0.0000 0.0000 5.0451 0.0000 0.0000 0.0000 4.5399" Properties=species:S:1:pos:R:3 pbc="T T T"
P 0.0000 0.0000 2.2700
P 2.2700 0.0000 0.0000
Li 0.0000 0.0000 0.0000
Sn 0.0000 2.5226 0.0000
Cd 2.2700 2.5226 2.2700
```

***

(4)
The following is a DFT calculation (PBE) of crystalline Sr2LiCdP at its relaxed geometry.

Results
calculated density: 3.252 g/cm3
space-group type: P4/mmm
raw total energy: -14.142 eV per cell

Structure (extended XYZ):
```
5
Lattice="5.9187 0.0000 0.0000 0.0000 5.9187 0.0000 0.0000 0.0000 4.7454" Properties=species:S:1:pos:R:3 pbc="T T T"
Sr 0.0000 2.9594 0.0000
Sr 2.9594 0.0000 0.0000
Li 0.0000 0.0000 2.3727
P 0.0000 0.0000 0.0000
Cd 2.9594 2.9594 2.3727
```

***

(5)
The following is a DFT calculation (PBE) of crystalline LiTi2CdP at its relaxed geometry.

Results
calculated density: 3.760 g/cm3
space-group type: P4/mmm
raw total energy: -19.314 eV per cell

Structure (extended XYZ):
```
5
Lattice="-2.4802 4.0540 1.4792 -1.7138 0.6405 -4.6289 -3.4905 -2.4817 0.9489" Properties=species:S:1:pos:R:3 pbc="T T T"
P -3.8423 1.1064 -1.1004
Ti -0.8569 0.3202 -2.3145
Ti -1.2401 2.0270 0.7396
Li -1.7453 -1.2409 0.4745
Cd 0.0000 0.0000 0.0000
```

***

(6)
The following is a DFT calculation (PBE) of crystalline Li2TlCdP at its relaxed geometry.

Results
calculated density: 5.053 g/cm3
space-group type: P4/mmm
raw total energy: -13.435 eV per cell

Structure (extended XYZ):
```
5
Lattice="4.7144 0.0000 0.0000 0.0000 4.7144 0.0000 0.0000 0.0000 5.3477" Properties=species:S:1:pos:R:3 pbc="T T T"
P 0.0000 0.0000 0.0000
Tl 2.3572 2.3572 2.6739
Li 0.0000 2.3572 0.0000
Li 2.3572 0.0000 0.0000
Cd 0.0000 0.0000 2.6739
```

***

(7)
The following is a DFT calculation (PBE) of crystalline LiPaCd2 at its relaxed geometry.

Results
calculated density: 8.370 g/cm3
excess energy over the best structure of this formula in the dataset: 0.83 eV per formula unit
space-group type: R-3m

Structure (extended XYZ):
```
4
Lattice="3.0435 0.0000 0.0000 1.5217 2.6357 0.0000 1.5217 0.8786 11.4453" Properties=species:S:1:pos:R:3 pbc="T T T"
Pa 0.0000 0.0000 0.0000
Li 3.0435 1.7572 5.7226
Cd 1.5217 0.8786 8.1222
Cd 4.5652 2.6357 3.3231
```

***

(8)
The following is a DFT calculation (PBE) of crystalline LiPaCd2 at its relaxed geometry.

Results
calculated density: 9.210 g/cm3
excess energy over the best structure of this formula in the dataset: 0.00 eV per formula unit
space-group type: P4/mmm

Structure (extended XYZ):
```
4
Lattice="-1.4393 1.6812 -2.1639 1.6353 -1.4343 -2.2020 -6.1874 -6.0986 -0.6227" Properties=species:S:1:pos:R:3 pbc="T T T"
Pa -2.9957 -2.9258 -2.4943
Li 0.0980 0.1235 -2.1830
Cd -4.8828 -4.8127 -0.4914
Cd -1.3046 -1.2859 -0.1313
```

***

(9)
The following is a DFT calculation (PBE) of crystalline Li2PaCd at its relaxed geometry.

Results
calculated density: 6.898 g/cm3
space-group type: R-3m
raw total energy: -13.689 eV per cell

Structure (extended XYZ):
```
4
Lattice="3.0135 0.0000 0.0000 1.5067 2.6098 0.0000 1.5067 0.8699 10.9375" Properties=species:S:1:pos:R:3 pbc="T T T"
Pa 0.0000 0.0000 0.0000
Li 1.5067 0.8699 7.9134
Li 4.5202 2.6098 3.0240
Cd 3.0135 1.7398 5.4687
```

***

(10)
The following is a DFT calculation (PBE) of crystalline LiPaCdPd at its relaxed geometry.

Results
calculated density: 9.726 g/cm3
space-group type: F-43m
raw total energy: -18.077 eV per cell

Structure (extended XYZ):
```
4
Lattice="-3.4365 -1.0955 -3.1605 -0.1683 -4.3844 -1.9357 -3.5090 -3.0298 1.2272" Properties=species:S:1:pos:R:3 pbc="T T T"
Pa -1.7785 -2.1274 -0.9672
Li 0.0000 0.0000 0.0000
Pd -3.5569 -4.2549 -1.9345
Cd -5.3354 -6.3823 -2.9017
```

***

(11)
The following is a DFT calculation (PBE) of crystalline LiPaCdPt at its relaxed geometry.

Results
calculated density: 11.646 g/cm3
space-group type: F-43m
raw total energy: -19.876 eV per cell

Structure (extended XYZ):
```
4
Lattice="-4.2758 -2.1498 -0.2305 -0.9893 -2.9840 -3.6158 -0.3608 -4.7086 0.8100" Properties=species:S:1:pos:R:3 pbc="T T T"
Pa -1.4065 -2.4606 -0.7591
Li 0.0000 0.0000 0.0000
Pt -2.8129 -4.9212 -1.5181
Cd -4.2194 -7.3818 -2.2772
```

***

(12)
The following is a DFT calculation (PBE) of crystalline LiPa2CdPt4 at its relaxed geometry.

Results
calculated density: 14.522 g/cm3
space-group type: R-3m
raw total energy: -52.251 eV per cell

Structure (extended XYZ):
```
8
Lattice="4.8248 0.0000 0.0000 2.4124 4.1784 0.0000 2.4124 1.3928 7.7235" Properties=species:S:1:pos:R:3 pbc="T T T"
Li 4.8248 2.7856 3.8618
Pa 7.2373 4.1784 5.8180
Pa 2.4124 1.3928 1.9056
Cd 0.0000 0.0000 0.0000
Pt 4.8248 2.7856 6.5545
Pt 7.2373 4.1784 2.9312
Pt 2.4124 1.3928 4.7923
Pt 4.8248 2.7856 1.1690
```